Here is an optimized crystal structure of CsHoNiF6 from Alexandria. Energies are from PBE+U.

Output
**Calculated density**: 4.65 g cm⁻³
**N(E_F)**: 0.00 states/eV/cell
**Crystal system**: orthorhombic
**Energy**: -96.1 eV per cell

Cell lengths 7.667, 8.067, 7.781 Å; angles 121.23, 119.52, 90.00 degrees
Each line ends with the local moment (μB).
Element x y z (fractional)
Cs 0.921 0.671 0.842  0.00
Cs 0.079 0.329 0.158  0.00
Ho 0.500 0.500 0.000  0.01
Ho 0.500 0.000 0.000  0.01
Ni 0.500 0.000 0.500  1.84
Ni 0.000 0.000 0.500  1.84
F 0.418 0.668 0.835  0.00
F 0.799 0.049 0.599  0.04
F 0.832 0.050 0.241  0.02
F 0.409 0.690 0.241  0.02
F 0.409 0.050 0.241  0.02
F 0.832 0.690 0.241  0.02
F 0.582 0.332 0.165  0.00
F 0.201 0.951 0.401  0.04
F 0.168 0.950 0.759  0.02
F 0.591 0.310 0.759  0.02
F 0.591 0.950 0.759  0.02
F 0.168 0.310 0.759  0.02